{
  "formula": "NaRhS2Cl",
  "functional": "PBE",
  "state": "optimized geometry",
  "lattice": [[4.5824, 0.0000, 0.0000], [0.0000, 4.5824, 0.0000], [0.0000, 0.0000, 5.3046]],
  "species": ["Na", "S", "S", "Rh", "Cl"],
  "fractional_positions": [[0.5000, 0.5000, 0.5000], [0.0000, 0.5000, 0.0000], [0.5000, 0.0000, 0.0000], [0.0000, 0.0000, 0.0000], [0.0000, 0.0000, 0.5000]],
  "relative_energy_mev_per_atom": 0,
  "magmom_total_mub_per_cell": 0.35,
  "total_energy_ev_per_fu": -20.35
}

{
  "formula": "NaRhS2Cl",
  "functional": "PBE",
  "state": "optimized geometry",
  "lattice": [[-0.4954, -0.5525, -4.8991], [4.9016, 0.4740, -0.5491], [0.5219, -4.8279, 0.4917]],
  "species": ["S", "S", "Cl", "Na", "Rh"],
  "fractional_positions": [[0.5000, 0.0000, 0.0000], [0.0000, 0.5000, 0.0000], [0.0000, 0.0000, 0.5000], [0.0000, 0.0000, 0.0000], [0.5000, 0.5000, 0.5000]],
  "relative_energy_mev_per_atom": 1300,
  "magmom_total_mub_per_cell": 4.56,
  "total_energy_ev_per_fu": -13.85
}